Entry from OQMD: crystalline LuCo3 at its relaxed geometry (PBE-GGA).

Values from the calculation:
As for the space-group type: Pm-3m. The value obtained for the magnetization is 3.6 Bohr magnetons per cell. The calculation puts the formation enthalpy at 0 K at 0.04 eV per atom.

a = 3.7917 Å, b = 3.7917 Å, c = 3.7917 Å
α = 90.00°, β = 90.00°, γ = 90.00°
Sites, in units of the cell vectors:
Co 0.5000 0.5000 0.0000
Co 0.5000 0.0000 0.5000
Co 0.0000 0.5000 0.5000
Lu 0.0000 0.0000 0.0000


Entry from OQMD: crystalline LuCo3 at its relaxed geometry (PBE-GGA).

Values from the calculation:
As for the space-group type: Fm-3m. The value obtained for the magnetization is 3.7 Bohr magnetons per cell. The calculation puts the formation enthalpy at 0 K at 0.09 eV per atom.

a = 4.2762 Å, b = 4.2762 Å, c = 4.2762 Å
α = 60.00°, β = 60.00°, γ = 60.00°
Sites, in units of the cell vectors:
Co 0.0000 0.0000 0.0000
Co 0.2500 0.2500 0.2500
Co 0.5000 0.5000 0.5000
Lu 0.7500 0.7500 0.7500